Entry 1:
A plane-wave DFT calculation with GGA-PBE was carried out for a geometry-optimized Nd2Hg2Pb structure.

a = 10.2994 Å, b = 4.7118 Å, c = 6.3790 Å
α = 90.00°, β = 94.33°, γ = 90.00°
Closest atoms and distances in Å follow each position.
Space group C2/m (No. 12)
Unique sites:
Nd: 0.1978 0.0000 0.2181 x4  5 Hg 3.15-3.48, 3 Pb 3.35-3.50
Hg: 0.1040 0.0000 0.6826 x4  1 Hg 3.04, 4 Nd 3.15-3.22, 2 Pb 3.34
Pb: 0.0000 0.5000 0.0000 x2  4 Hg 3.34, 6 Nd 3.35-3.50

Values from the calculation:
uncorrected energy	-3.149	eV/atom
DFT formation energy	-0.379	eV/atom
volume	30.87	A^3/atom
polymorph energy (0 for the lowest one)	0.41	eV/f.u.



Entry 2:
A plane-wave DFT calculation with GGA-PBE was carried out for a geometry-optimized Pm3NdDy structure.

a = 17.5866 Å, b = 6.8406 Å, c = 6.0931 Å
α = 90.00°, β = 110.00°, γ = 90.00°
Closest atoms and distances in Å follow each position.
Space group C2/m (No. 12)
Unique sites:
Pm: 0.1534 0.2337 0.4029 x8  2 Pm 3.20, 2 Nd 3.47-3.48
Pm: 0.2270 0.5000 0.9756 x4  6 Pm 3.50-3.75, 1 Dy 3.68
Nd: 0.0000 0.5000 0.0000 x2  2 Nd 3.05
Nd: 0.0000 0.5000 0.5000 x2  2 Nd 3.05
Dy: 0.0505 0.0000 0.7999 x4  2 Dy 3.47, 7 Pm 3.68-3.85, 4 Nd 3.84

Values from the calculation:
uncorrected energy	-4.533	eV/atom
DFT formation energy	0.191	eV/atom
volume	34.44	A^3/atom
polymorph energy (0 for the lowest one)	0.88	eV/f.u.



Entry 3:
A plane-wave DFT calculation with GGA-PBE was carried out for a geometry-optimized HoTm2Hf structure.

a = 3.3046 Å, b = 3.3046 Å, c = 35.6642 Å
α = 90.00°, β = 90.00°, γ = 120.00°
Closest atoms and distances in Å follow each position.
Space group R-3m (No. 166, hexagonal axes)
Unique sites:
Ho: 0.0000 0.0000 0.0000 x3  6 Ho 3.30, 6 Tm 3.42
Tm: 0.0000 0.0000 0.4129 x6  1 Hf 3.11, 6 Tm 3.30, 3 Ho 3.42
Hf: 0.0000 0.0000 0.5000 x3  2 Tm 3.11, 6 Hf 3.30

Values from the calculation:
uncorrected energy	-5.519	eV/atom
DFT formation energy	0.349	eV/atom
volume	28.11	A^3/atom
polymorph energy (0 for the lowest one)	1.14	eV/f.u.



Entry 4:
A plane-wave DFT calculation with GGA-PBE was carried out for a geometry-optimized InIr2 structure.

a = 2.8605 Å, b = 3.9580 Å, c = 8.7000 Å
α = 90.00°, β = 90.00°, γ = 90.00°
Closest atoms and distances in Å follow each position.
Space group Immm (No. 71)
Unique sites:
In: 0.0000 0.0000 0.0000 x2  10 Ir 2.83-2.87, 2 In 2.86
Ir: 0.0000 0.0000 0.3258 x4  7 Ir 2.77-3.03, 5 In 2.83-2.87

Values from the calculation:
uncorrected energy	-6.594	eV/atom
DFT formation energy	0.227	eV/atom
volume	16.42	A^3/atom



Entry 5:
A plane-wave DFT calculation with GGA-PBE was carried out for a geometry-optimized CaReIN2 structure.

a = 4.3337 Å, b = 4.3337 Å, c = 6.0539 Å
α = 90.00°, β = 90.00°, γ = 90.00°
Closest atoms and distances in Å follow each position.
Space group P4/mmm (No. 123)
Unique sites:
Ca: 0.0000 0.0000 0.0000 x1  4 N 2.17
Re: 0.5000 0.5000 0.5000 x1  4 I 3.06
I: 0.0000 0.0000 0.5000 x1  2 Ca 3.03, 4 Re 3.06
N: 0.0000 0.5000 0.0000 x2  2 Ca 2.17

Values from the calculation:
uncorrected energy	-4.243	eV/atom
volume	22.74	A^3/atom
polymorph energy (0 for the lowest one)	10.56	eV/f.u.



Entry 6:
A plane-wave DFT calculation with GGA-PBE was carried out for a geometry-optimized Li2ReRu structure.

a = 4.1205 Å, b = 4.1205 Å, c = 2.8948 Å
α = 90.00°, β = 90.00°, γ = 90.00°
Closest atoms and distances in Å follow each position.
Space group P4/mmm (No. 123)
Unique sites:
Li: 0.0000 0.5000 0.0000 x2  4 Re 2.52, 4 Ru 2.52
Re: 0.0000 0.0000 0.5000 x1  8 Li 2.52
Ru: 0.5000 0.5000 0.5000 x1  8 Li 2.52

Values from the calculation:
uncorrected energy	-5.627	eV/atom
DFT formation energy	0.761	eV/atom
volume	12.29	A^3/atom
polymorph energy (0 for the lowest one)	2.42	eV/f.u.



Entry 7:
A plane-wave DFT calculation with GGA-PBE was carried out for a geometry-optimized ThPaIn2 structure.

a = 3.3820 Å, b = 3.3820 Å, c = 9.3756 Å
α = 90.00°, β = 90.00°, γ = 90.00°
Closest atoms and distances in Å follow each position.
Space group P4/mmm (No. 123)
Unique sites:
Th: 0.0000 0.0000 0.0000 x1  4 Th 3.38, 8 In 3.40
Pa: 0.0000 0.0000 0.5000 x1  8 In 3.30, 4 Pa 3.38
In: 0.5000 0.5000 0.2575 x2  4 Pa 3.30, 4 In 3.38, 4 Th 3.40

Values from the calculation:
uncorrected energy	-5.721	eV/atom
DFT formation energy	-0.123	eV/atom
volume	26.81	A^3/atom
polymorph energy (0 for the lowest one)	0.00	eV/f.u.



Entry 8:
A plane-wave DFT calculation with GGA-PBE was carried out for a geometry-optimized RbMg2Pb4 structure.

a = 9.3477 Å, b = 9.3477 Å, c = 5.2809 Å
α = 90.00°, β = 90.00°, γ = 90.00°
Closest atoms and distances in Å follow each position.
Space group P4_2/mnm (No. 136)
Unique sites:
Rb: 0.0000 0.0000 0.0000 x2  6 Mg 3.72-3.91, 4 Pb 4.09
Mg: 0.2186 0.2186 0.5000 x4  6 Pb 3.13-3.24
Pb: 0.0912 0.6557 0.5000 x8  3 Mg 3.13-3.24, 2 Pb 3.35-3.37

Values from the calculation:
uncorrected energy	-2.730	eV/atom
DFT formation energy	-0.017	eV/atom
volume	32.96	A^3/atom
polymorph energy (0 for the lowest one)	0.31	eV/f.u.



Entry 9:
A plane-wave DFT calculation with GGA-PBE was carried out for a geometry-optimized Ac12As3Ru5 structure.

a = 17.8802 Å, b = 17.8802 Å, c = 17.8802 Å
α = 90.00°, β = 90.00°, γ = 90.00°
Closest atoms and distances in Å follow each position.
Space group Ia-3d (No. 230)
Unique sites:
Ac: 0.0261 0.0571 0.6517 x96  2 Ru 2.69-2.94
As: 0.0000 0.2500 0.1250 x24  8 Ac 3.38-3.51
Ru: 0.0000 0.0000 0.0000 x16  6 Ac 2.94
Ru: 0.0000 0.2500 0.3750 x24  4 Ac 2.69

Values from the calculation:
uncorrected energy	-5.779	eV/atom
DFT formation energy	-0.297	eV/atom
volume	35.73	A^3/atom



Entry 10:
A plane-wave DFT calculation with GGA-PBE was carried out for a geometry-optimized Nd4TmSc structure.

a = 6.1979 Å, b = 10.6925 Å, c = 6.1969 Å
α = 90.00°, β = 108.95°, γ = 90.00°
Closest atoms and distances in Å follow each position.
Space group C2/m (No. 12)
Unique sites:
Nd: 0.0000 0.1626 0.0000 x4  7 Nd 3.48-3.62, 2 Sc 3.55, 3 Tm 3.55-3.61
Nd: 0.0000 0.3345 0.5000 x4  7 Nd 3.54-3.60, 2 Tm 3.57, 3 Sc 3.57-3.58
Tm: 0.0000 0.5000 0.0000 x2  10 Nd 3.55-3.61, 2 Sc 3.60
Sc: 0.0000 0.0000 0.5000 x2  10 Nd 3.55-3.58, 2 Tm 3.60

Values from the calculation:
uncorrected energy	-4.945	eV/atom
DFT formation energy	0.034	eV/atom
volume	32.37	A^3/atom
polymorph energy (0 for the lowest one)	0.00	eV/f.u.



Entry 11:
A plane-wave DFT calculation with GGA-PBE was carried out for a geometry-optimized Ti3Co structure.

a = 9.7245 Å, b = 9.7245 Å, c = 5.1598 Å
α = 90.00°, β = 90.00°, γ = 90.00°
Closest atoms and distances in Å follow each position.
Space group P4_2/nbc (No. 133, origin choice 2)
Unique sites:
Ti: 0.0403 0.0403 0.2500 x8  2 Co 2.55, 5 Ti 2.67-2.81
Ti: 0.1026 0.7500 0.0000 x8  4 Co 2.46-2.64
Ti: 0.1540 0.1540 0.7500 x8  2 Co 2.50, 2 Ti 2.64-2.67
Co: 0.0441 0.7500 0.5000 x8  8 Ti 2.46-2.64

Values from the calculation:
uncorrected energy	-7.887	eV/atom
DFT formation energy	-0.190	eV/atom
volume	15.25	A^3/atom



Entry 12:
A plane-wave DFT calculation with GGA-PBE was carried out for a geometry-optimized FeRe2Pb structure.

a = 3.0975 Å, b = 3.0349 Å, c = 7.5074 Å
α = 90.00°, β = 101.89°, γ = 90.00°
Closest atoms and distances in Å follow each position.
Space group Pm (No. 6)
Unique sites:
Fe: 0.0000 0.0000 0.0000 x1  5 Re 2.64-2.95, 4 Pb 2.86-2.87
Re: 0.2000 0.0000 0.4021 x1  4 Re 2.60
Re: 0.6020 0.5000 0.2064 x1  4 Re 2.60, 4 Fe 2.64-2.65
Pb: 0.3744 0.5000 0.7447 x1  4 Fe 2.86-2.87, 2 Re 2.94, 4 Pb 3.03-3.10

Values from the calculation:
uncorrected energy	-8.741	eV/atom
DFT formation energy	0.526	eV/atom
volume	17.27	A^3/atom